The following is a DFT calculation (GGA-PBE) of a geometry-optimized Na5In5Hg2 structure.

Cell: 8.260 8.260 10.226 Å, 124.29 124.29 35.80°
Fractional coordinates of all 12 atoms:
Na 0.000 0.000 0.000
Na 0.094 0.094 0.783
Na 0.178 0.178 0.529
Na 0.822 0.822 0.471
Na 0.906 0.906 0.217
In 0.271 0.271 0.200
In 0.437 0.437 0.737
In 0.500 0.500 0.500
In 0.563 0.563 0.263
In 0.729 0.729 0.800
Hg 0.348 0.348 0.952
Hg 0.652 0.652 0.048

Results
- Total magnetic moment: 0.0 μB per formula unit
- ΔE_f: -0.115 eV per atom
- Calculated volume: 27.40 Å³/atom
- Density: 5.505 g cm⁻³

The following is a DFT calculation (GGA-PBE) of a geometry-optimized Na3In5Hg12 structure.

Cell: 15.081 15.081 15.081 Å, 109.47 109.47 109.47°
Fractional coordinates of all 80 atoms:
Na 0.125 0.250 0.375
Na 0.125 0.375 0.750
Na 0.250 0.375 0.125
Na 0.250 0.875 0.625
Na 0.375 0.125 0.250
Na 0.375 0.750 0.125
Na 0.625 0.250 0.875
Na 0.625 0.875 0.750
Na 0.750 0.125 0.375
Na 0.750 0.625 0.875
Na 0.875 0.625 0.250
Na 0.875 0.750 0.625
In 0.000 0.000 0.000
In 0.000 0.000 0.500
In 0.000 0.500 0.000
In 0.000 0.500 0.500
In 0.125 0.750 0.875
In 0.125 0.875 0.250
In 0.250 0.125 0.875
In 0.250 0.625 0.375
In 0.375 0.250 0.625
In 0.375 0.625 0.750
In 0.500 0.000 0.000
In 0.500 0.000 0.500
In 0.500 0.500 0.000
In 0.500 0.500 0.500
In 0.625 0.375 0.250
In 0.625 0.750 0.375
In 0.750 0.375 0.625
In 0.750 0.875 0.125
In 0.875 0.125 0.750
In 0.875 0.250 0.125
Hg 0.067 0.231 0.147
Hg 0.067 0.336 0.921
Hg 0.079 0.647 0.416
Hg 0.079 0.933 0.664
Hg 0.084 0.731 0.664
Hg 0.084 0.853 0.421
Hg 0.147 0.067 0.231
Hg 0.147 0.579 0.916
Hg 0.164 0.231 0.584
Hg 0.164 0.433 0.579
Hg 0.231 0.147 0.067
Hg 0.231 0.584 0.164
Hg 0.269 0.336 0.916
Hg 0.269 0.433 0.353
Hg 0.336 0.916 0.269
Hg 0.336 0.921 0.067
Hg 0.353 0.269 0.433
Hg 0.353 0.584 0.921
Hg 0.416 0.079 0.647
Hg 0.416 0.836 0.769
Hg 0.421 0.084 0.853
Hg 0.421 0.836 0.567
Hg 0.433 0.353 0.269
Hg 0.433 0.579 0.164
Hg 0.567 0.421 0.836
Hg 0.567 0.647 0.731
Hg 0.579 0.164 0.433
Hg 0.579 0.916 0.147
Hg 0.584 0.164 0.231
Hg 0.584 0.921 0.353
Hg 0.647 0.416 0.079
Hg 0.647 0.731 0.567
Hg 0.664 0.079 0.933
Hg 0.664 0.084 0.731
Hg 0.731 0.567 0.647
Hg 0.731 0.664 0.084
Hg 0.769 0.416 0.836
Hg 0.769 0.853 0.933
Hg 0.836 0.567 0.421
Hg 0.836 0.769 0.416
Hg 0.853 0.421 0.084
Hg 0.853 0.933 0.769
Hg 0.916 0.147 0.579
Hg 0.916 0.269 0.336
Hg 0.921 0.067 0.336
Hg 0.921 0.353 0.584
Hg 0.933 0.664 0.079
Hg 0.933 0.769 0.853

Results
- Total magnetic moment: 0.0 μB per formula unit
- ΔE_f: 0.067 eV per atom
- Calculated volume: 33.00 Å³/atom
- Density: 7.673 g cm⁻³

The following is a DFT calculation (GGA-PBE) of a geometry-optimized Na3InHg6 structure.

Cell: 10.227 10.227 5.517 Å, 90.00 90.00 109.77°
Fractional coordinates of all 20 atoms:
Na 0.132 0.868 0.500
Na 0.202 0.413 0.992
Na 0.413 0.202 0.492
Na 0.587 0.798 0.992
Na 0.798 0.587 0.492
Na 0.868 0.132 0.000
In 0.337 0.663 0.500
In 0.663 0.337 0.000
Hg 0.048 0.460 0.491
Hg 0.091 0.182 0.498
Hg 0.182 0.091 0.998
Hg 0.246 0.754 0.000
Hg 0.460 0.048 0.991
Hg 0.498 0.502 0.244
Hg 0.502 0.498 0.744
Hg 0.540 0.952 0.491
Hg 0.754 0.246 0.500
Hg 0.818 0.909 0.498
Hg 0.909 0.818 0.998
Hg 0.952 0.540 0.991

Results
- Total magnetic moment: 0.0 μB per formula unit
- ΔE_f: -0.168 eV per atom
- Energy relative to the lowest polymorph listed for this composition: 22.7 kJ/mol of formula units
- Calculated volume: 27.15 Å³/atom
- Density: 8.486 g cm⁻³

The following is a DFT calculation (GGA-PBE) of a geometry-optimized NaIn8Hg2 structure.

Cell: 8.747 8.747 4.991 Å, 99.87 99.87 121.28°
Fractional coordinates of all 11 atoms:
Na 0.000 0.000 0.000
In 0.090 0.317 0.627
In 0.215 0.785 0.000
In 0.317 0.090 0.627
In 0.387 0.387 0.185
In 0.613 0.613 0.815
In 0.683 0.910 0.373
In 0.785 0.215 0.000
In 0.910 0.683 0.373
Hg 0.319 0.681 0.500
Hg 0.681 0.319 0.500

Results
- Total magnetic moment: 0.0 μB per formula unit
- ΔE_f: 0.035 eV per atom
- Energy relative to the lowest polymorph listed for this composition: 43.6 kJ/mol of formula units
- Calculated volume: 27.79 Å³/atom
- Density: 7.293 g cm⁻³

The following is a DFT calculation (GGA-PBE) of a geometry-optimized NaNdInHg structure.

Cell: 5.331 5.331 5.331 Å, 60.00 60.00 60.00°
Fractional coordinates of all 4 atoms:
Na 0.000 0.000 0.000
Nd 0.500 0.500 0.500
In 0.250 0.250 0.250
Hg 0.750 0.750 0.750

Results
- Total magnetic moment: 0.0 μB per formula unit
- ΔE_f: -0.339 eV per atom
- Calculated volume: 26.78 Å³/atom
- Density: 7.480 g cm⁻³

The following is a DFT calculation (GGA-PBE) of a geometry-optimized Na2InHgO structure.

Cell: 4.642 4.642 4.913 Å, 90.00 90.00 90.00°
Fractional coordinates of all 5 atoms:
Na 0.000 0.500 0.000
Na 0.500 0.000 0.000
In 0.000 0.000 0.500
Hg 0.500 0.500 0.500
O 0.000 0.000 0.000

Results
- Total magnetic moment: 0.0 μB per formula unit
- Uncorrected formation energy: -0.670 eV per atom
- Calculated volume: 21.18 Å³/atom
- Density: 5.918 g cm⁻³